1.
The following is a DFT calculation (GGA-PBE) of an optimized crystal structure of ScMn2InSi.

As for the density of states at the Fermi level: 0.53 states/eV per atom. The calculated density comes out at 3.856 g/cm³. For the uncorrected formation energy, the calculation gives 1.067 eV per atom. As for the crystal system: tetragonal. For the uncorrected energy, the calculation gives -5.4995 eV/atom. The calculation puts the total magnetization at 8.05 Bohr magnetons per cell.

The structure belongs to space group P4/mmm (No. 123); the cell edges are 4.910, 4.910 and 5.320 Å and the angles 90.00°, 90.00° and 90.00°. The asymmetric unit holds Sc at (0.000, 0.000, 0.000), Mn at (0.000, 0.500, 0.500), In at (0.000, 0.000, 0.500) and Si at (0.500, 0.500, 0.000).



2.
The following is a DFT calculation (GGA-PBE) of an optimized crystal structure of GdHf2C.

As for the density of states at the Fermi level: 0.77 states/eV per atom. The calculation puts the formation energy at -0.303 eV/atom. The calculated density comes out at 10.469 g/cm³. As for the crystal system: trigonal. For the uncorrected energy, the calculation gives -11.1058 eV/atom. The calculation puts the total magnetization at 22.79 Bohr magnetons per cell.

The structure belongs to space group R-3m (No. 166, hexagonal axes); the cell edges are 3.2876, 3.2876 and 26.7537 Å and the angles 90.00°, 90.00° and 120.00°. The asymmetric unit holds Gd at (0.0000, 0.0000, 0.0000), Hf at (0.0000, 0.0000, 0.1208) and C at (0.0000, 0.0000, 0.5000).



3.
The following is a DFT calculation (GGA-PBE) of an optimized crystal structure of ScAl2Ir.

As for the density of states at the Fermi level: 0.46 states/eV per atom. The calculation puts the formation energy at -0.669 eV/atom. The calculated density comes out at 7.502 g/cm³. As for the crystal system: tetragonal. For the uncorrected energy, the calculation gives -6.3386 eV/atom. The calculation puts the total magnetization at 0.00 Bohr magnetons per cell.

The structure belongs to space group P4/mmm (No. 123); the cell edges are 3.932, 3.932 and 4.169 Å and the angles 90.00°, 90.00° and 90.00°. The asymmetric unit holds Sc at (0.000, 0.000, 0.000), Al at (0.000, 0.500, 0.500) and Ir at (0.500, 0.500, 0.000).



4.
The following is a DFT calculation (GGA-PBE) of an optimized crystal structure of Tb6SmEr8.

As for the density of states at the Fermi level: 1.47 states/eV per atom. The calculation puts the formation energy at 0.131 eV/atom. The calculated density comes out at 8.484 g/cm³. As for the crystal system: trigonal. For the uncorrected energy, the calculation gives -4.4694 eV/atom. The calculation puts the total magnetization at 0.00 Bohr magnetons per cell.

The structure belongs to space group R-3 (No. 148, hexagonal axes); the cell edges are 8.9907, 8.9907 and 20.4832 Å and the angles 90.00°, 90.00° and 120.00°. The asymmetric unit holds Tb at (0.0648, 0.2471, 0.2083), Sm at (0.0000, 0.0000, 0.5000), Er at (0.0000, 0.0000, 0.0764) and Er at (0.0810, 0.5519, 0.3085).



5.
The following is a DFT calculation (GGA-PBE) of an optimized crystal structure of La3Sb2N2.

As for the density of states at the Fermi level: 0.40 states/eV per atom. The calculated density comes out at 6.466 g/cm³. For the uncorrected formation energy, the calculation gives -0.935 eV per atom. As for the crystal system: monoclinic. For the uncorrected energy, the calculation gives -6.6031 eV/atom. The calculation puts the total magnetization at 0.00 Bohr magnetons per cell.

The structure belongs to space group C2/m (No. 12); the cell edges are 10.009, 5.307 and 6.730 Å and the angles 90.00°, 98.54° and 90.00°. The asymmetric unit holds La at (0.000, 0.000, 0.000), La at (0.186, 0.500, 0.341), Sb at (0.143, 0.500, 0.820) and N at (0.177, 0.000, 0.325).



6.
The following is a DFT calculation (GGA-PBE) of an optimized crystal structure of NbAlTc.

As for the density of states at the Fermi level: 0.94 states/eV per atom. The calculation puts the formation energy at 0.379 eV/atom. The calculated density comes out at 6.635 g/cm³. As for the crystal system: orthorhombic. For the uncorrected energy, the calculation gives -7.6800 eV/atom. The calculation puts the distance to the lowest polymorph of the same formula at 0.723 eV per atom. The calculation puts the total magnetization at 0.00 Bohr magnetons per cell.

The structure belongs to space group Fddd (No. 70, origin choice 2); the cell edges are 5.956, 11.378 and 12.875 Å and the angles 90.00°, 90.00° and 90.00°. The asymmetric unit holds Nb at (0.000, 0.000, 0.000), Al at (0.125, 0.125, 0.527) and Tc at (0.125, 0.329, 0.625).



7.
The following is a DFT calculation (GGA-PBE) of an optimized crystal structure of InPS3.

As for the density of states at the Fermi level: 0.72 states/eV per atom. The calculated density comes out at 4.166 g/cm³. For the uncorrected formation energy, the calculation gives 0.193 eV per atom. As for the crystal system: cubic. For the uncorrected energy, the calculation gives -3.9127 eV/atom. The calculation puts the total magnetization at 0.00 Bohr magnetons per cell.

The structure belongs to space group Pm-3m (No. 221); the cell edges are 4.586, 4.586 and 4.586 Å and the angles 90.00°, 90.00° and 90.00°. The asymmetric unit holds In at (0.000, 0.000, 0.000), P at (0.500, 0.500, 0.500) and S at (0.000, 0.500, 0.500).



8.
The following is a DFT calculation (GGA-PBE) of an optimized crystal structure of Cs3ClF.

As for the density of states at the Fermi level: 0.40 states/eV per atom. The calculated density comes out at 3.259 g/cm³. For the uncorrected formation energy, the calculation gives -1.593 eV per atom. As for the crystal system: cubic. For the uncorrected energy, the calculation gives -2.8487 eV/atom. The calculation puts the distance to the lowest polymorph of the same formula at 0.000 eV per atom. The calculation puts the total magnetization at 0.00 Bohr magnetons per cell.

The structure belongs to space group Pm-3m (No. 221); the cell edges are 6.135, 6.135 and 6.135 Å and the angles 90.00°, 90.00° and 90.00°. The asymmetric unit holds Cs at (0.000, 0.000, 0.500), Cl at (0.500, 0.500, 0.500) and F at (0.000, 0.000, 0.000).



9.
The following is a DFT calculation (GGA-PBE) of an optimized crystal structure of AlV6Mo5.

As for the density of states at the Fermi level: 0.83 states/eV per atom. The calculation puts the formation energy at -0.158 eV/atom. The calculated density comes out at 7.747 g/cm³. As for the crystal system: orthorhombic. For the uncorrected energy, the calculation gives -9.5423 eV/atom. The calculation puts the total magnetization at 0.00 Bohr magnetons per cell.

The structure belongs to space group Immm (No. 71); the cell edges are 4.325, 6.167 and 13.058 Å and the angles 90.00°, 90.00° and 90.00°. The asymmetric unit holds Al at (0.000, 0.000, 0.000), V at (0.000, 0.238, 0.500), V at (0.000, 0.254, 0.169), Mo at (0.000, 0.000, 0.331), Mo at (0.000, 0.500, 0.000) and Mo at (0.000, 0.500, 0.341).



10.
The following is a DFT calculation (GGA-PBE) of an optimized crystal structure of Cs2BaTiF6.

As for the density of states at the Fermi level: 0.91 states/eV per atom. The calculated density comes out at 4.472 g/cm³. For the uncorrected formation energy, the calculation gives -3.042 eV per atom. As for the crystal system: cubic. For the uncorrected energy, the calculation gives -5.3173 eV/atom. The calculation puts the total magnetization at 7.99 Bohr magnetons per cell.

The structure belongs to space group Fm-3m (No. 225); the cell edges are 9.433, 9.433 and 9.433 Å and the angles 90.00°, 90.00° and 90.00°. The asymmetric unit holds Cs at (0.250, 0.250, 0.250), Ba at (0.000, 0.000, 0.000), Ti at (0.000, 0.000, 0.500) and F at (0.000, 0.000, 0.273).